Density functional theory data (GGA+U) for Rb4Sm3VO8 after structural relaxation.

Values from the calculation:
* E_tot: -6.41 eV per atom
* volume: 280.45 Å³/cell
* Fermi-level density of states: 0.000 states/eV/atom

Unit cell a=6.9865 b=7.7112 c=7.0526 alpha=117.27 beta=119.69 gamma=90.00
With the nearest neighbours (Å) after each atom.
Sites, in units of the cell vectors:
1 O 0.7257 0.6811 0.4513  3 Sm 2.35
2 O 0.7922 0.3309 0.0398  1 V 2.15, 2 Sm 2.39-2.41
3 O 0.7734 0.3162 0.5467  1 V 2.36, 2 Sm 2.36
4 O 0.2266 0.6838 0.4533  1 V 2.36, 2 Sm 2.36
5 O 0.2743 0.3189 0.5487  3 Sm 2.35
6 O 0.2078 0.6691 0.9602  1 V 2.15, 2 Sm 2.39-2.41
7 O 0.2475 0.3309 0.0398  1 V 2.15, 2 Sm 2.39-2.41
8 O 0.7525 0.6691 0.9602  1 V 2.15, 2 Sm 2.39-2.41
9 Sm 0.0000 0.5000 0.5000  6 O 2.35-2.41
10 Sm 0.5000 0.5000 0.5000  6 O 2.35-2.41
11 Sm 0.5000 0.5000 0.0000  6 O 2.35-2.39
12 Rb 0.0000 0.0000 0.5000  6 O 2.89-2.93
13 Rb 0.5000 0.0000 0.5000  6 O 2.89-2.93
14 Rb 0.5000 0.0000 0.0000  6 O 2.92-3.09
15 Rb 0.0000 0.0000 0.0000  6 O 2.91-2.94
16 V 0.0000 0.5000 0.0000  6 O 2.15-2.36